{"formula": "CaTa2In", "functional": "PBE-GGA", "state": "relaxed", "space_group": "P4/mmm (123)", "dft_energy_ev_per_atom": -6.449, "formation_energy_ev_per_fu": 2.65, "n_ef_per_ev_atom": 1.5169, "lattice_angstrom": [[-1.955, -0.317, -3.189], [0.005, -3.736, 0.368], [-5.798, 0.340, 3.521]], "species": ["Ca", "In", "Ta", "Ta"], "fractional_positions": [[0.500, 0.500, 0.250], [0.500, 0.500, 0.750], [0.000, 0.000, 0.931], [0.000, 0.000, 0.569]]}

***

{"formula": "CaTa2In", "functional": "PBE-GGA", "state": "relaxed", "space_group": "P4/mmm (123)", "dft_energy_ev_per_atom": -6.627, "formation_energy_ev_per_fu": 1.94, "n_ef_per_ev_atom": 1.2456, "lattice_angstrom": [[4.921, 0.000, 0.000], [0.000, 4.179, 0.000], [0.000, 0.000, 4.179]], "species": ["Ca", "In", "Ta", "Ta"], "fractional_positions": [[0.500, 0.500, 0.000], [0.500, 0.000, 0.500], [0.000, 0.000, 0.000], [0.000, 0.500, 0.500]]}

***

{"formula": "Ca2TaIn", "functional": "PBE-GGA", "state": "relaxed", "space_group": "Pmm2 (25)", "dft_energy_ev_per_atom": -4.321, "formation_energy_ev_per_fu": 1.31, "n_ef_per_ev_atom": 1.1453, "lattice_angstrom": [[-0.002, 1.700, 2.820], [1.764, -3.072, 1.853], [7.621, 3.212, -1.930]], "species": ["Ca", "Ca", "In", "Ta"], "fractional_positions": [[0.000, 0.000, 0.948], [0.500, 0.500, 0.303], [0.000, 0.000, 0.542], [0.500, 0.500, 0.707]]}

***

{"formula": "CaTa2In", "functional": "PBE-GGA", "state": "relaxed", "space_group": "Cmmm (65)", "dft_energy_ev_per_atom": -6.560, "formation_energy_ev_per_fu": 2.20, "n_ef_per_ev_atom": 1.0019, "lattice_angstrom": [[5.752, -0.003, 0.000], [-2.703, 5.078, 0.000], [0.000, 0.000, 2.941]], "species": ["Ca", "In", "Ta", "Ta"], "fractional_positions": [[0.500, 0.000, 0.500], [0.000, 0.500, 0.500], [0.000, 0.000, 0.000], [0.500, 0.500, 0.000]]}

***

{"formula": "CaTa2In", "functional": "PBE-GGA", "state": "relaxed", "space_group": "I-4m2 (119)", "dft_energy_ev_per_atom": -6.634, "formation_energy_ev_per_fu": 1.91, "n_ef_per_ev_atom": 1.3388, "lattice_angstrom": [[4.931, 0.000, 0.000], [-0.018, 4.931, 0.000], [-2.457, -2.465, 3.492]], "species": ["Ca", "In", "Ta", "Ta"], "fractional_positions": [[0.500, 0.500, 0.000], [0.750, 0.250, 0.500], [0.000, 0.000, 0.000], [0.250, 0.750, 0.500]]}

***

{"formula": "CaTa2In", "functional": "PBE-GGA", "state": "relaxed", "space_group": "Pmmm (47)", "dft_energy_ev_per_atom": -6.529, "formation_energy_ev_per_fu": 2.33, "n_ef_per_ev_atom": 1.4052, "lattice_angstrom": [[2.926, 0.000, 0.000], [0.000, 4.986, 0.000], [0.000, 0.000, 5.932]], "species": ["Ca", "In", "Ta", "Ta"], "fractional_positions": [[0.500, 0.500, 0.250], [0.500, 0.500, 0.750], [0.000, 0.000, 0.002], [0.000, 0.000, 0.498]]}

***

{"formula": "CaTa3In", "functional": "PBE-GGA", "state": "relaxed", "space_group": "Pm-3m (221)", "dft_energy_ev_per_atom": -5.692, "formation_energy_ev_per_fu": 11.84, "e_above_lowest_polymorph_mev_per_atom": 539.6, "n_ef_per_ev_atom": 1.0072, "lattice_angstrom": [[4.796, 0.000, 0.000], [0.000, 4.796, 0.000], [0.000, 0.000, 4.796]], "species": ["Ca", "In", "Ta", "Ta", "Ta"], "fractional_positions": [[0.000, 0.000, 0.000], [0.500, 0.500, 0.500], [0.000, 0.500, 0.000], [0.000, 0.000, 0.500], [0.500, 0.000, 0.000]]}

***

{"formula": "CaTaIn4", "functional": "PBE-GGA", "state": "relaxed", "space_group": "F-43m (216)", "dft_energy_ev_per_atom": -3.875, "formation_energy_ev_per_fu": 1.56, "n_ef_per_ev_atom": 0.5813, "lattice_angstrom": [[5.153, 2.739, 0.251], [0.457, 5.114, 2.787], [2.895, 0.318, 5.064]], "species": ["Ca", "Ta", "In", "In", "In", "In"], "fractional_positions": [[0.000, 0.000, 0.000], [0.750, 0.750, 0.750], [0.375, 0.874, 0.375], [0.874, 0.375, 0.375], [0.375, 0.375, 0.874], [0.375, 0.375, 0.375]]}

***

{"formula": "Ca2TaIn", "functional": "PBE-GGA", "state": "relaxed", "space_group": "I-4m2 (119)", "dft_energy_ev_per_atom": -4.206, "formation_energy_ev_per_fu": 1.77, "n_ef_per_ev_atom": 0.6162, "lattice_angstrom": [[-3.237, 0.081, 4.675], [-0.696, -5.381, 1.704], [4.722, 2.896, -1.286]], "species": ["Ca", "Ca", "In", "Ta"], "fractional_positions": [[0.000, 0.000, 0.000], [0.250, 0.750, 0.500], [0.500, 0.500, 0.000], [0.750, 0.250, 0.500]]}

***

{"formula": "CaTa2In", "functional": "PBE-GGA", "state": "relaxed", "space_group": "Cmm2 (35)", "dft_energy_ev_per_atom": -6.864, "formation_energy_ev_per_fu": 0.99, "n_ef_per_ev_atom": 0.8888, "lattice_angstrom": [[3.045, -0.048, 0.000], [-0.836, 2.929, 0.000], [0.000, 0.000, 9.897]], "species": ["Ca", "In", "Ta", "Ta"], "fractional_positions": [[0.000, 0.000, 0.497], [0.500, 0.500, 0.769], [0.000, 0.000, 0.012], [0.500, 0.500, 0.223]]}

***

{"formula": "Ca2TaIn", "functional": "PBE-GGA", "state": "relaxed", "space_group": "Imm2 (44)", "dft_energy_ev_per_atom": -4.281, "formation_energy_ev_per_fu": 1.47, "n_ef_per_ev_atom": 1.0763, "lattice_angstrom": [[6.603, 0.002, -0.004], [3.394, 5.664, 0.004], [-4.264, -4.130, 2.893]], "species": ["Ca", "Ca", "In", "Ta"], "fractional_positions": [[0.018, 0.018, 0.000], [0.726, 0.226, 0.500], [0.479, 0.479, 0.000], [0.277, 0.777, 0.500]]}

***

{"formula": "Ca2TaIn", "functional": "PBE-GGA", "state": "relaxed", "space_group": "I4/mmm (139)", "dft_energy_ev_per_atom": -4.227, "formation_energy_ev_per_fu": 1.69, "n_ef_per_ev_atom": 0.6663, "lattice_angstrom": [[-5.694, 0.234, -1.666], [-1.357, -3.289, -4.753], [2.868, -0.949, 5.112]], "species": ["Ca", "Ca", "In", "Ta"], "fractional_positions": [[0.000, 0.000, 0.000], [0.500, 0.500, 0.000], [0.250, 0.750, 0.500], [0.750, 0.250, 0.500]]}

***

{"formula": "CaTa4In", "functional": "PBE-GGA", "state": "relaxed", "space_group": "F-43m (216)", "dft_energy_ev_per_atom": -8.272, "formation_energy_ev_per_fu": 2.52, "n_ef_per_ev_atom": 0.9446, "lattice_angstrom": [[-0.303, -3.752, 4.245], [-4.342, -3.642, 0.263], [0.857, -5.514, -1.021]], "species": ["Ca", "Ta", "Ta", "Ta", "Ta", "In"], "fractional_positions": [[0.750, 0.750, 0.750], [0.867, 0.378, 0.378], [0.378, 0.378, 0.867], [0.378, 0.867, 0.378], [0.378, 0.378, 0.378], [0.000, 0.000, 0.000]]}

***

{"formula": "CaTa2In", "functional": "PBE-GGA", "state": "relaxed", "space_group": "P4mm (99)", "dft_energy_ev_per_atom": -6.846, "formation_energy_ev_per_fu": 1.06, "n_ef_per_ev_atom": 1.0894, "lattice_angstrom": [[-2.785, 0.025, -1.061], [0.418, -2.714, -1.160], [-3.204, -4.049, 8.319]], "species": ["Ca", "In", "Ta", "Ta"], "fractional_positions": [[0.000, 0.000, 0.505], [0.500, 0.500, 0.770], [0.000, 0.000, 0.002], [0.500, 0.500, 0.224]]}

***

{"formula": "Ca2TaIn", "functional": "PBE-GGA", "state": "relaxed", "space_group": "Pmmm (47)", "dft_energy_ev_per_atom": -4.162, "formation_energy_ev_per_fu": 1.94, "n_ef_per_ev_atom": 0.7348, "lattice_angstrom": [[-0.145, -2.825, -2.235], [4.819, -1.430, 1.495], [-2.090, -2.972, 3.893]], "species": ["Ca", "Ca", "In", "Ta"], "fractional_positions": [[0.000, 0.000, 0.000], [0.500, 0.500, 0.000], [0.500, 0.000, 0.500], [0.000, 0.500, 0.500]]}

***

{"formula": "Ca2TaIn", "functional": "PBE-GGA", "state": "relaxed", "space_group": "R-3m (166)", "dft_energy_ev_per_atom": -4.299, "formation_energy_ev_per_fu": 1.40, "n_ef_per_ev_atom": 0.7346, "lattice_angstrom": [[-2.925, 1.917, 10.460], [-3.761, -1.290, 10.288], [-0.638, -0.425, 11.003]], "species": ["Ca", "Ca", "In", "Ta"], "fractional_positions": [[0.002, 0.002, 0.002], [0.498, 0.498, 0.498], [0.250, 0.250, 0.250], [0.750, 0.750, 0.750]]}

***

{"formula": "Ca2TaIn", "functional": "PBE-GGA", "state": "relaxed", "space_group": "Cmmm (65)", "dft_energy_ev_per_atom": -4.355, "formation_energy_ev_per_fu": 1.18, "n_ef_per_ev_atom": 1.3922, "lattice_angstrom": [[3.156, 0.021, 0.000], [-0.042, 3.155, 0.000], [0.000, 0.000, 10.250]], "species": ["Ca", "Ca", "In", "Ta"], "fractional_positions": [[0.000, 0.000, 0.995], [0.000, 0.000, 0.505], [0.500, 0.500, 0.250], [0.500, 0.500, 0.750]]}

***

{"formula": "CaTaIn", "functional": "PBE-GGA", "state": "relaxed", "space_group": "I4mm (107)", "dft_energy_ev_per_atom": -5.285, "formation_energy_ev_per_fu": 0.74, "e_above_lowest_polymorph_mev_per_atom": 0.0, "n_ef_per_ev_atom": 0.6929, "lattice_angstrom": [[-2.821, 7.242, -0.216], [-5.171, 5.657, -1.309], [-1.380, 0.179, 2.700]], "species": ["Ca", "In", "Ta"], "fractional_positions": [[0.000, 0.000, 0.000], [0.324, 0.324, 0.676], [0.675, 0.675, 0.325]]}

***

{"formula": "Ca4TaIn", "functional": "PBE-GGA", "state": "relaxed", "space_group": "F-43m (216)", "dft_energy_ev_per_atom": -2.996, "formation_energy_ev_per_fu": 4.62, "n_ef_per_ev_atom": 0.4990, "lattice_angstrom": [[0.174, 4.019, 4.972], [-5.436, 2.415, 2.351], [-2.131, -1.900, 5.723]], "species": ["Ca", "Ca", "Ca", "Ca", "Ta", "In"], "fractional_positions": [[0.375, 0.876, 0.375], [0.876, 0.375, 0.375], [0.375, 0.375, 0.876], [0.375, 0.375, 0.375], [0.000, 0.000, 0.000], [0.750, 0.750, 0.750]]}

***

{"formula": "CaTa2In", "functional": "PBE-GGA", "state": "relaxed", "space_group": "Immm (71)", "dft_energy_ev_per_atom": -6.667, "formation_energy_ev_per_fu": 1.78, "n_ef_per_ev_atom": 0.8341, "lattice_angstrom": [[-4.288, -4.317, -0.110], [-2.240, -2.452, 5.100], [0.946, 5.010, -3.323]], "species": ["Ca", "In", "Ta", "Ta"], "fractional_positions": [[0.750, 0.250, 0.500], [0.250, 0.750, 0.500], [0.014, 0.014, 0.000], [0.486, 0.486, 0.000]]}